(1)
# CaTmTe2

CaTmTe2 after structural relaxation (GGA-PBE, Alexandria via LeMat-Bulk).

abc: 4.285 4.285 23.017
angles: 90.00 90.00 120.00
Element x y z (fractional)
Ca1 0.000 0.000 0.000
Ca2 0.333 0.667 0.667
Ca3 0.667 0.333 0.333
Tm1 0.000 0.000 0.172
Tm2 0.333 0.667 0.839
Tm3 0.667 0.333 0.506
Te1 0.000 0.000 0.582
Te2 0.000 0.000 0.759
Te3 0.333 0.667 0.249
Te4 0.333 0.667 0.425
Te5 0.667 0.333 0.092
Te6 0.667 0.333 0.916

Values from the calculation:
Magnetic moment in μB/f.u.: 0.0
Total energy in eV for the cell shown: -54.49
Formation energy (no corrections) in eV/f.u.: -5.41
Energy above the lowest structure with this stoichiometry in meV per atom: 51



(2)
# CsAsO2

CsAsO2 after structural relaxation (GGA-PBE, Alexandria via LeMat-Bulk).

abc: 3.963 3.963 22.036
angles: 90.00 90.00 120.00
Element x y z (fractional)
Cs1 0.000 0.000 0.000
Cs2 0.333 0.667 0.667
Cs3 0.667 0.333 0.333
As1 0.000 0.000 0.500
As2 0.333 0.667 0.167
As3 0.667 0.333 0.833
O1 0.000 0.000 0.420
O2 0.000 0.000 0.580
O3 0.333 0.667 0.087
O4 0.333 0.667 0.246
O5 0.667 0.333 0.754
O6 0.667 0.333 0.913

Values from the calculation:
Magnetic moment in μB/f.u.: 0.0
Total energy in eV for the cell shown: -55.92
Formation energy (no corrections) in eV/f.u.: -3.22



(3)
# CeHoErSn

CeHoErSn after structural relaxation (GGA-PBE, Alexandria via LeMat-Bulk).

abc: 7.566 7.566 7.566
angles: 90.00 90.00 90.00
Element x y z (fractional)
Ce1 0.000 0.000 0.000
Ce2 0.000 0.500 0.500
Ce3 0.500 0.000 0.500
Ce4 0.500 0.500 0.000
Ho1 0.250 0.250 0.250
Ho2 0.250 0.750 0.750
Ho3 0.750 0.250 0.750
Ho4 0.750 0.750 0.250
Er1 0.250 0.250 0.750
Er2 0.250 0.750 0.250
Er3 0.750 0.250 0.250
Er4 0.750 0.750 0.750
Sn1 0.000 0.000 0.500
Sn2 0.000 0.500 0.000
Sn3 0.500 0.000 0.000
Sn4 0.500 0.500 0.500

Values from the calculation:
Magnetic moment in μB/f.u.: 1.2
Total energy in eV for the cell shown: -79.15
Energy relative to the elements in meV per atom: -177.3



(4)
# NdLuCo

NdLuCo after structural relaxation (GGA-PBE, Alexandria via LeMat-Bulk).

abc: 6.674 6.674 6.674
angles: 90.00 90.00 90.00
Element x y z (fractional)
Nd1 0.000 0.000 0.000
Nd2 0.000 0.500 0.500
Nd3 0.500 0.000 0.500
Nd4 0.500 0.500 0.000
Lu1 0.000 0.000 0.500
Lu2 0.000 0.500 0.000
Lu3 0.500 0.000 0.000
Lu4 0.500 0.500 0.500
Co1 0.250 0.250 0.750
Co2 0.250 0.750 0.250
Co3 0.750 0.250 0.250
Co4 0.750 0.750 0.750

Values from the calculation:
Magnetic moment in μB/f.u.: 0.0
Total energy in eV for the cell shown: -65.76
Energy relative to the elements in meV per atom: -14.7
Energy above the lowest structure with this stoichiometry in meV per atom: 60



(5)
# LiLa2SnF

LiLa2SnF after structural relaxation (GGA-PBE, Alexandria via LeMat-Bulk).

abc: 5.231 5.231 4.309
angles: 90.00 90.00 90.00
Element x y z (fractional)
Li1 0.000 0.000 0.000
La1 0.000 0.500 0.500
La2 0.500 0.000 0.500
Sn1 0.500 0.500 0.000
F1 0.000 0.000 0.500

Values from the calculation:
Magnetic moment in μB/f.u.: 0.0
Total energy in eV for the cell shown: -24.72
Formation energy (no corrections) in eV/f.u.: -7.07



(6)
# Rb2ScCu3F12

Rb2ScCu3F12 after structural relaxation (GGA-PBE, Alexandria via LeMat-Bulk).

abc: 7.443 7.443 7.443
angles: 59.05 59.05 59.05
Element x y z (fractional)
Rb1 0.114 0.114 0.114
Rb2 0.886 0.886 0.886
Sc1 0.500 0.500 0.500
Cu1 0.000 0.500 0.500
Cu2 0.500 0.000 0.500
Cu3 0.500 0.500 0.000
F1 0.170 0.576 0.576
F2 0.183 0.183 0.578
F3 0.183 0.578 0.183
F4 0.422 0.817 0.817
F5 0.424 0.424 0.830
F6 0.424 0.830 0.424
F7 0.576 0.170 0.576
F8 0.576 0.576 0.170
F9 0.578 0.183 0.183
F10 0.817 0.422 0.817
F11 0.817 0.817 0.422
F12 0.830 0.424 0.424

Values from the calculation:
Magnetic moment in μB/f.u.: 3.8
Total energy in eV for the cell shown: -85.64
Formation energy (no corrections) in eV/f.u.: -42.63



(7)
# K2Cd9In6

K2Cd9In6 after structural relaxation (GGA-PBE, Alexandria via LeMat-Bulk).

abc: 6.221 6.221 15.336
angles: 90.00 90.00 120.00
Element x y z (fractional)
K1 0.000 0.000 0.165
K2 0.000 0.000 0.835
Cd1 0.000 0.500 0.000
Cd2 0.000 0.500 0.335
Cd3 0.000 0.500 0.665
Cd4 0.500 0.000 0.000
Cd5 0.500 0.000 0.335
Cd6 0.500 0.000 0.665
Cd7 0.500 0.500 0.000
Cd8 0.500 0.500 0.335
Cd9 0.500 0.500 0.665
In1 0.333 0.667 0.168
In2 0.333 0.667 0.500
In3 0.333 0.667 0.832
In4 0.667 0.333 0.168
In5 0.667 0.333 0.500
In6 0.667 0.333 0.832

Values from the calculation:
Magnetic moment in μB/f.u.: 0.0
Total energy in eV for the cell shown: -26.55
Energy relative to the elements in meV per atom: 18.5



(8)
# Th6Sb2Ru

Th6Sb2Ru after structural relaxation (GGA-PBE, Alexandria via LeMat-Bulk).

abc: 6.401 8.207 12.037
angles: 90.00 119.95 90.00
Element x y z (fractional)
Th1 0.082 0.194 0.457
Th2 0.082 0.306 0.957
Th3 0.324 0.675 0.461
Th4 0.324 0.825 0.961
Th5 0.363 0.019 0.248
Th6 0.363 0.481 0.748
Th7 0.637 0.519 0.252
Th8 0.637 0.981 0.752
Th9 0.676 0.175 0.039
Th10 0.676 0.325 0.539
Th11 0.918 0.694 0.043
Th12 0.918 0.806 0.543
Sb1 0.152 0.111 0.746
Sb2 0.152 0.389 0.246
Sb3 0.848 0.611 0.754
Sb4 0.848 0.889 0.254
Ru1 0.500 0.000 0.500
Ru2 0.500 0.500 0.000

Values from the calculation:
Magnetic moment in μB/f.u.: 0.0
Total energy in eV for the cell shown: -132.52
Formation energy (no corrections) in eV/f.u.: -4.22



(9)
# Al2Ge2P

Al2Ge2P after structural relaxation (GGA-PBE, Alexandria via LeMat-Bulk).

abc: 6.838 6.838 3.928
angles: 90.00 90.00 90.00
Element x y z (fractional)
Al1 0.169 0.331 0.000
Al2 0.331 0.831 0.000
Al3 0.669 0.169 0.000
Al4 0.831 0.669 0.000
Ge1 0.133 0.633 0.500
Ge2 0.367 0.133 0.500
Ge3 0.633 0.867 0.500
Ge4 0.867 0.367 0.500
P1 0.000 0.000 0.000
P2 0.500 0.500 0.000

Values from the calculation:
Magnetic moment in μB/f.u.: 0.0
Total energy in eV for the cell shown: -41.83
Energy relative to the elements in meV per atom: 243.1
Energy above the lowest structure with this stoichiometry in meV per atom: 5



(10)
# RhS2Cl

RhS2Cl after structural relaxation (GGA-PBE, Alexandria via LeMat-Bulk).

abc: 6.409 6.409 8.628
angles: 90.00 90.00 90.00
Element x y z (fractional)
Rh1 0.000 0.000 0.000
Rh2 0.000 0.500 0.250
Rh3 0.500 0.000 0.750
Rh4 0.500 0.500 0.500
S1 0.171 0.250 0.125
S2 0.250 0.671 0.375
S3 0.250 0.829 0.875
S4 0.329 0.250 0.625
S5 0.671 0.750 0.625
S6 0.750 0.171 0.875
S7 0.750 0.329 0.375
S8 0.829 0.750 0.125
Cl1 0.000 0.000 0.500
Cl2 0.000 0.500 0.750
Cl3 0.500 0.000 0.250
Cl4 0.500 0.500 0.000

Values from the calculation:
Magnetic moment in μB/f.u.: 0.0
Total energy in eV for the cell shown: -69.07
Formation energy (no corrections) in eV/f.u.: 0.18
Energy above the lowest structure with this stoichiometry in meV per atom: 357



(11)
# Sr2ReTc

Sr2ReTc after structural relaxation (GGA-PBE, Alexandria via LeMat-Bulk).

abc: 4.009 4.116 10.483
angles: 90.00 90.00 90.00
Element x y z (fractional)
Sr1 0.000 0.000 0.250
Sr2 0.000 0.000 0.750
Sr3 0.500 0.500 0.250
Sr4 0.500 0.500 0.750
Re1 0.000 0.500 0.000
Re2 0.500 0.000 0.000
Tc1 0.000 0.500 0.500
Tc2 0.500 0.000 0.500

Values from the calculation:
Magnetic moment in μB/f.u.: 0.0
Total energy in eV for the cell shown: -42.47
Energy relative to the elements in meV per atom: 1235.7
Energy above the lowest structure with this stoichiometry in meV per atom: 924



(12)
# CsMo5S8

CsMo5S8 after structural relaxation (GGA-PBE, Alexandria via LeMat-Bulk).

abc: 9.514 9.514 8.887
angles: 105.06 105.06 19.73
Element x y z (fractional)
Cs1 0.000 0.000 0.000
Mo1 0.159 0.159 0.498
Mo2 0.205 0.205 0.839
Mo3 0.476 0.476 0.478
Mo4 0.779 0.779 0.107
Mo5 0.852 0.852 0.489
S1 0.071 0.071 0.641
S2 0.256 0.256 0.319
S3 0.332 0.332 0.972
S4 0.413 0.413 0.675
S5 0.579 0.579 0.332
S6 0.653 0.653 0.978
S7 0.748 0.748 0.643
S8 0.915 0.915 0.289

Values from the calculation:
Magnetic moment in μB/f.u.: 0.0
Total energy in eV for the cell shown: -97.92
Formation energy (no corrections) in eV/f.u.: -9.89